# 1
# PBE-GGA CePrDySc, relaxed
data_CePrDySc
_chemical_formula_sum 'Ce4 Pr4 Dy4 Sc4'
_space_group_name_H-M_alt 'F -4 3 m'
_space_group_IT_number 216
_space_group_name_Hall 'F -4 2 3'
_cell_length_a 7.897
_cell_length_b 7.897
_cell_length_c 7.897
_cell_angle_alpha 90.00
_cell_angle_beta 90.00
_cell_angle_gamma 90.00
loop_
_atom_site_label
_atom_site_type_symbol
_atom_site_fract_x
_atom_site_fract_y
_atom_site_fract_z
_atom_site_occupancy
Ce1 Ce 0.000 0.000 0.000 1
Pr1 Pr 0.000 0.000 0.500 1
Dy1 Dy 0.250 0.250 0.750 1
Sc1 Sc 0.250 0.250 0.250 1
# Total moment in μB/atom: 0.15
# ΔE_f in eV per atom: 0.15
# VASP energy in eV per atom: -5.2600

---

# 2
# PBE-GGA Ce2PrDySe4, relaxed
data_Ce2PrDySe4
_chemical_formula_sum 'Ce2 Pr1 Dy1 Se4'
_space_group_name_H-M_alt 'P 1 2/m 1'
_space_group_IT_number 10
_cell_length_a 7.261
_cell_length_b 4.163
_cell_length_c 7.286
_cell_angle_alpha 90.00
_cell_angle_beta 109.13
_cell_angle_gamma 90.00
loop_
_space_group_symop_operation_xyz
'x,y,z'
'-x,-y,-z'
'-x,y,-z'
'x,-y,z'
loop_
_atom_site_label
_atom_site_type_symbol
_atom_site_fract_x
_atom_site_fract_y
_atom_site_fract_z
_atom_site_occupancy
Ce1 Ce 0.000 0.000 0.000 1
Ce2 Ce 0.500 0.500 0.000 1
Pr1 Pr 0.000 0.500 0.500 1
Dy1 Dy 0.500 0.000 0.500 1
Se1 Se 0.258 0.000 0.749 1
Se2 Se 0.260 0.500 0.257 1
# Total moment in μB/atom: 0.25
# VASP energy in eV per atom: -6.2095
# Formation energy without anion corrections in eV/atom: -1.81

---

# 3
# PBE-GGA Ce3Pr2DySe6, relaxed
data_Ce3Pr2DySe6
_chemical_formula_sum 'Ce6 Pr4 Dy2 Se12'
_space_group_name_H-M_alt 'C 1 2/m 1'
_space_group_IT_number 12
_cell_length_a 7.274
_cell_length_b 12.603
_cell_length_c 7.296
_cell_angle_alpha 90.00
_cell_angle_beta 109.43
_cell_angle_gamma 90.00
loop_
_space_group_symop_operation_xyz
'x,y,z'
'-x,-y,-z'
'-x,y,-z'
'x,-y,z'
'x+1/2,y+1/2,z'
'-x+1/2,-y+1/2,-z'
'-x+1/2,y+1/2,-z'
'x+1/2,-y+1/2,z'
loop_
_atom_site_label
_atom_site_type_symbol
_atom_site_fract_x
_atom_site_fract_y
_atom_site_fract_z
_atom_site_occupancy
Ce1 Ce 0.000 0.000 0.000 1
Ce2 Ce 0.000 0.329 0.000 1
Pr1 Pr 0.000 0.166 0.500 1
Dy1 Dy 0.000 0.500 0.500 1
Se1 Se 0.239 0.500 0.248 1
Se2 Se 0.244 0.338 0.747 1
# Total moment in μB/atom: 0.25
# VASP energy in eV per atom: -6.2273
# Formation energy without anion corrections in eV/atom: -1.82

---

# 4
# PBE-GGA Ce4Pr3DySe8, relaxed
data_Ce4Pr3DySe8
_chemical_formula_sum 'Ce12 Pr9 Dy3 Se24'
_space_group_name_H-M_alt 'R -3 m'
_space_group_IT_number 166
_space_group_name_Hall '-R 3 2"'
_cell_length_a 8.4173
_cell_length_b 8.4173
_cell_length_c 20.6847
_cell_angle_alpha 90.00
_cell_angle_beta 90.00
_cell_angle_gamma 120.00
loop_
_atom_site_label
_atom_site_type_symbol
_atom_site_fract_x
_atom_site_fract_y
_atom_site_fract_z
_atom_site_occupancy
Ce1 Ce 0.0000 0.0000 0.0000 1
Ce2 Ce 0.0000 0.5000 0.0000 1
Pr1 Pr 0.0000 0.5000 0.5000 1
Dy1 Dy 0.0000 0.0000 0.5000 1
Se1 Se 0.0000 0.0000 0.2517 1
Se2 Se 0.0081 0.5040 0.2496 1
# Total moment in μB/atom: 0.24
# VASP energy in eV per atom: -6.2326
# Formation energy without anion corrections in eV/atom: -1.82

---

# 5
# PBE-GGA CePr3Dy3Se8, relaxed
data_CePr3Dy3Se8
_chemical_formula_sum 'Ce3 Pr9 Dy9 Se24'
_space_group_name_H-M_alt 'R -3 m'
_space_group_IT_number 166
_space_group_name_Hall '-R 3 2"'
_cell_length_a 8.3055
_cell_length_b 8.3055
_cell_length_c 20.5057
_cell_angle_alpha 90.00
_cell_angle_beta 90.00
_cell_angle_gamma 120.00
loop_
_atom_site_label
_atom_site_type_symbol
_atom_site_fract_x
_atom_site_fract_y
_atom_site_fract_z
_atom_site_occupancy
Ce1 Ce 0.0000 0.0000 0.0000 1
Pr1 Pr 0.0000 0.5000 0.5000 1
Dy1 Dy 0.0000 0.5000 0.0000 1
Se1 Se 0.0000 0.0000 0.2553 1
Se2 Se 0.0138 0.5069 0.2522 1
# Total moment in μB/atom: 0.10
# VASP energy in eV per atom: -5.9656
# Formation energy without anion corrections in eV/atom: -1.84

---

# 6
# PBE-GGA Ce2PrDy3Se6, relaxed
data_Ce2PrDy3Se6
_chemical_formula_sum 'Ce4 Pr2 Dy6 Se12'
_space_group_name_H-M_alt 'C 1 2/m 1'
_space_group_IT_number 12
_cell_length_a 7.129
_cell_length_b 12.364
_cell_length_c 7.279
_cell_angle_alpha 90.00
_cell_angle_beta 109.08
_cell_angle_gamma 90.00
loop_
_space_group_symop_operation_xyz
'x,y,z'
'-x,-y,-z'
'-x,y,-z'
'x,-y,z'
'x+1/2,y+1/2,z'
'-x+1/2,-y+1/2,-z'
'-x+1/2,y+1/2,-z'
'x+1/2,-y+1/2,z'
loop_
_atom_site_label
_atom_site_type_symbol
_atom_site_fract_x
_atom_site_fract_y
_atom_site_fract_z
_atom_site_occupancy
Ce1 Ce 0.000 0.167 0.000 1
Pr1 Pr 0.000 0.500 0.000 1
Dy1 Dy 0.000 0.000 0.500 1
Dy2 Dy 0.000 0.337 0.500 1
Se1 Se 0.243 0.169 0.735 1
Se2 Se 0.250 0.000 0.261 1
# Total moment in μB/atom: 0.16
# VASP energy in eV per atom: -6.0811
# Formation energy without anion corrections in eV/atom: -1.80

---

# 7
# PBE-GGA CePrSm2Dy, relaxed
data_CePrSm2Dy
_chemical_formula_sum 'Ce2 Pr2 Sm4 Dy2'
_space_group_name_H-M_alt 'P m m a'
_space_group_IT_number 51
_cell_length_a 5.997
_cell_length_b 7.780
_cell_length_c 7.251
_cell_angle_alpha 90.00
_cell_angle_beta 90.00
_cell_angle_gamma 90.00
loop_
_space_group_symop_operation_xyz
'x,y,z'
'-x,-y,-z'
'-x+1/2,-y,z'
'x+1/2,y,-z'
'x+1/2,-y,-z'
'-x+1/2,y,z'
'-x,y,-z'
'x,-y,z'
loop_
_atom_site_label
_atom_site_type_symbol
_atom_site_fract_x
_atom_site_fract_y
_atom_site_fract_z
_atom_site_occupancy
Ce1 Ce 0.000 0.000 0.000 1
Pr1 Pr 0.250 0.500 0.162 1
Sm1 Sm 0.250 0.288 0.683 1
Dy1 Dy 0.250 0.000 0.389 1
# Total moment in μB/atom: 0.32
# ΔE_f in eV per atom: 0.27
# VASP energy in eV per atom: -4.6815

---

# 8
# PBE-GGA CePrSmDy, relaxed
data_CePrSmDy
_chemical_formula_sum 'Ce4 Pr4 Sm4 Dy4'
_space_group_name_H-M_alt 'F -4 3 m'
_space_group_IT_number 216
_space_group_name_Hall 'F -4 2 3'
_cell_length_a 8.138
_cell_length_b 8.138
_cell_length_c 8.138
_cell_angle_alpha 90.00
_cell_angle_beta 90.00
_cell_angle_gamma 90.00
loop_
_atom_site_label
_atom_site_type_symbol
_atom_site_fract_x
_atom_site_fract_y
_atom_site_fract_z
_atom_site_occupancy
Ce1 Ce 0.000 0.000 0.000 1
Pr1 Pr 0.250 0.250 0.750 1
Sm1 Sm 0.250 0.250 0.250 1
Dy1 Dy 0.000 0.000 0.500 1
# Total moment in μB/atom: 0.82
# ΔE_f in eV per atom: 0.20
# VASP energy in eV per atom: -4.8086